A plane-wave DFT calculation with PBE was carried out for a geometry-optimized Pr2Sm2CI3Cl2 structure.

Cell: 9.664 9.664 8.660 Å, 101.77 101.77 23.96°
Each line ends with the local moment (μB).
Sites, in units of the cell vectors:
C: 0.500 0.500 0.000  0.00
Pr: 0.638 0.638 0.074  0.07
Pr: 0.362 0.362 0.926  0.07
Cl: 0.149 0.149 0.314  0.01
Cl: 0.851 0.851 0.686  0.01
Sm: 0.001 0.001 0.805  0.02
Sm: 0.999 0.999 0.195  0.02
I: 0.171 0.171 0.808  0.00
I: 0.829 0.829 0.192  0.00
I: 0.500 0.500 0.500  0.00

Results
E above lowest polymorph = 0.002 eV per atom
Space group = C2/m, No. 12

A plane-wave DFT calculation with PBE was carried out for a geometry-optimized NbHgNO structure.

Cell: 3.425 6.103 7.845 Å, 90.00 90.00 90.00°
Sites, in units of the cell vectors:
N: 0.000 0.251 0.501
N: 0.000 0.751 0.499
Hg: 0.500 0.501 0.841
Hg: 0.500 0.001 0.159
O: 0.500 0.000 0.760
O: 0.500 0.500 0.240
Nb: 0.000 0.001 0.642
Nb: 0.000 0.501 0.358

Results
E above lowest polymorph = 0.000 eV per atom
Space group = Pmc2_1, No. 26

Computed mass density, in the same sequence as the records: 5.41 6.55 Mg/m³.